No. 1
Computed, not measured: a geometry-optimized CaCuO2 structure at the GGA-PBE level of DFT.

Summary:
* energy relative to the elements, uncorrected: -1.193 eV/atom
* energy: -5.197 eV/atom
* space-group type: Fm-3m

CIF file:
```
data_CaCuO2
_space_group_name_H-M_alt 'P 1'
_space_group_IT_number 1
_cell_length_a 3.981
_cell_length_b 3.981
_cell_length_c 3.981
_cell_angle_alpha 60.00
_cell_angle_beta 60.00
_cell_angle_gamma 60.00
loop_
_space_group_symop_operation_xyz
'x,y,z'
loop_
_atom_site_label
_atom_site_fract_x
_atom_site_fract_y
_atom_site_fract_z
Ca1 0.000 0.000 0.000
Cu1 0.500 0.500 0.500
O1 0.250 0.250 0.250
O2 0.750 0.750 0.750
```

---

No. 2
Computed, not measured: a geometry-optimized AcCu2F8 structure at the GGA-PBE level of DFT.

Summary:
* E above lowest polymorph: 222.7 meV per atom
* energy relative to the elements, uncorrected: -2.154 eV/atom
* energy: -4.633 eV/atom
* space-group type: P4/mmm

CIF file:
```
data_AcCu2F8
_space_group_name_H-M_alt 'P 1'
_space_group_IT_number 1
_cell_length_a 5.116
_cell_length_b 5.116
_cell_length_c 5.839
_cell_angle_alpha 90.00
_cell_angle_beta 90.00
_cell_angle_gamma 90.00
loop_
_space_group_symop_operation_xyz
'x,y,z'
loop_
_atom_site_label
_atom_site_fract_x
_atom_site_fract_y
_atom_site_fract_z
Ac1 0.000 0.000 0.000
Cu1 0.000 0.500 0.500
Cu2 0.500 0.000 0.500
F1 0.251 0.251 0.293
F2 0.251 0.251 0.707
F3 0.251 0.749 0.293
F4 0.251 0.749 0.707
F5 0.749 0.251 0.293
F6 0.749 0.251 0.707
F7 0.749 0.749 0.293
F8 0.749 0.749 0.707
```

---

- Which formula does entry 2 have?
  AcCu2F8

---

- The lowest energy belongs to which entry?
  CaCuO2